Y5Al4 GGA-PBE optimized geometry; total energy = -0.1977 Ha/atom; distance to the lowest polymorph of the same formula = 2.288 eV/f.u.; M_tot = 0.0 μB/f.u.; DOS at the Fermi energy = 0.99 states/eV per atom
1.0
-4.823 4.823 2.333
4.823 -4.823 2.333
4.823 4.823 -2.333
Y Al
5 4
Cartesian
0.000 0.000 0.000
-1.673 1.673 2.333
1.673 -1.673 2.333
1.673 1.673 2.333
3.150 3.150 0.000
0.000 3.358 0.000
0.000 6.289 0.000
6.289 0.000 0.000
3.358 0.000 0.000


Y5Al GGA-PBE optimized geometry; total energy = -0.2097 Ha/atom; M_tot = 0.0 μB/f.u.; DOS at the Fermi energy = 1.24 states/eV per atom
1.0
0.000 4.517 4.517
4.517 0.000 4.517
4.517 4.517 0.000
Y Al
5 1
Cartesian
5.642 5.642 5.642
3.392 3.392 5.642
2.259 2.259 2.259
5.642 3.392 3.392
3.392 5.642 3.392
0.000 0.000 0.000


Y4Al3 GGA-PBE optimized geometry; total energy = -0.2036 Ha/atom; M_tot = 0.0 μB/f.u.; DOS at the Fermi energy = 0.69 states/eV per atom
1.0
-1.709 1.709 15.129
1.709 -1.709 15.129
1.709 1.709 -15.129
Al Y
3 4
Cartesian
0.000 0.000 8.269
0.000 0.000 0.000
0.000 0.000 21.989
0.000 0.000 13.129
0.000 0.000 17.129
0.000 0.000 4.795
0.000 0.000 25.464


Y4Al GGA-PBE optimized geometry; total energy = -0.2047 Ha/atom; distance to the lowest polymorph of the same formula = 2.488 eV/f.u.; M_tot = 0.0 μB/f.u.; DOS at the Fermi energy = 1.80 states/eV per atom
1.0
1.042 -5.682 -1.597
-5.885 1.105 -0.271
2.899 3.688 -3.731
Y Al
4 1
Cartesian
-2.943 0.552 -0.136
1.450 1.844 -1.866
-0.972 -0.445 -2.800
0.521 -2.841 -0.799
0.000 0.000 0.000


Y4Al5 GGA-PBE optimized geometry; total energy = -0.1937 Ha/atom; distance to the lowest polymorph of the same formula = 0.000 eV/f.u.; M_tot = 0.0 μB/f.u.; DOS at the Fermi energy = 0.63 states/eV per atom
1.0
-4.810 4.810 2.262
4.810 -4.810 2.262
4.810 4.810 -2.262
Al Y
5 4
Cartesian
1.446 1.446 2.262
-1.446 1.446 2.262
1.446 -1.446 2.262
0.000 0.000 0.000
3.364 3.364 0.000
0.000 2.945 0.000
6.676 0.000 0.000
0.000 6.676 0.000
2.945 0.000 0.000


Y3Al2 GGA-PBE optimized geometry; total energy = -0.2107 Ha/atom; M_tot = 0.0 μB/f.u.; DOS at the Fermi energy = 1.21 states/eV per atom
1.0
8.248 0.000 0.000
0.000 8.248 0.000
0.000 0.000 7.634
Y Al
12 8
Cartesian
4.124 0.000 5.725
5.779 5.779 3.817
0.000 4.124 5.725
5.380 5.380 0.000
0.000 4.124 1.908
6.593 1.655 0.000
1.655 6.593 0.000
4.124 0.000 1.908
6.992 1.256 3.817
2.868 2.868 0.000
2.469 2.469 3.817
1.256 6.992 3.817
3.145 5.103 5.324
0.979 0.979 6.127
0.979 0.979 1.507
5.103 3.145 5.324
3.145 5.103 2.310
7.270 7.270 1.507
7.270 7.270 6.127
5.103 3.145 2.310


Y4Al5 GGA-PBE optimized geometry; total energy = -0.1934 Ha/atom; distance to the lowest polymorph of the same formula = 0.075 eV/f.u.; M_tot = 0.0 μB/f.u.; DOS at the Fermi energy = 0.65 states/eV per atom
1.0
8.841 0.000 0.000
-4.420 7.656 0.000
0.000 0.000 6.156
Al Y
10 8
Cartesian
3.067 5.313 4.617
0.000 5.104 0.000
4.420 2.552 3.078
-1.353 2.344 4.617
6.134 0.000 1.539
-3.067 5.313 1.539
1.353 2.344 1.539
2.706 0.000 4.617
0.000 5.104 3.078
4.420 2.552 0.000
-1.623 2.811 1.539
0.000 0.000 3.078
5.595 0.000 4.617
-2.797 4.845 4.617
2.797 4.845 1.539
0.000 0.000 0.000
1.623 2.811 4.617
3.246 0.000 1.539


Y3Al GGA-PBE optimized geometry; total energy = -0.2170 Ha/atom; M_tot = 0.2 μB/f.u.; DOS at the Fermi energy = 0.83 states/eV per atom
1.0
6.053 0.000 0.000
0.000 6.053 0.000
0.000 0.000 6.053
Y Al
6 2
Cartesian
3.026 0.000 4.539
4.539 3.026 0.000
1.513 3.026 0.000
0.000 1.513 3.026
3.026 0.000 1.513
0.000 4.539 3.026
0.000 0.000 0.000
3.026 3.026 3.026


Y17Al12 GGA-PBE optimized geometry; total energy = -0.2071 Ha/atom; M_tot = 0.0 μB/f.u.; DOS at the Fermi energy = 0.85 states/eV per atom
1.0
-6.986 5.326 4.219
1.704 -7.956 5.363
8.162 5.283 -0.658
Y Al
17 12
Cartesian
3.676 2.698 3.401
-1.135 -3.104 4.496
2.729 1.767 -0.220
1.305 5.049 4.011
1.688 -1.378 5.255
4.815 -0.315 4.472
3.529 -3.117 2.994
-1.652 4.802 2.313
1.917 1.766 5.940
2.715 4.790 0.907
-0.988 2.711 4.903
-3.640 0.725 4.166
0.000 0.000 0.000
-1.302 -0.297 6.442
-2.336 1.781 1.411
0.570 -2.661 1.793
5.391 0.700 1.259
5.759 3.874 1.240
-4.595 -0.756 6.865
-3.934 3.902 4.360
1.627 -4.597 5.092
0.720 2.436 2.216
6.610 -3.095 3.944
-3.083 -3.068 7.064
-0.463 7.715 3.013
2.173 7.708 2.164
-0.482 -0.028 3.336
2.338 -0.036 2.429
7.734 -0.791 2.896


Y3Al GGA-PBE optimized geometry; total energy = -0.2130 Ha/atom; M_tot = 0.0 μB/f.u.; DOS at the Fermi energy = 1.38 states/eV per atom
1.0
-5.628 -2.250 1.830
0.972 0.581 -6.229
5.005 -1.549 3.555
Y Al
3 1
Cartesian
-0.311 -1.900 2.692
-2.328 -0.835 -2.200
2.989 -0.484 -1.337
0.000 0.000 0.000


Y7Al6 GGA-PBE optimized geometry; total energy = -0.1829 Ha/atom; M_tot = 0.0 μB/f.u.; DOS at the Fermi energy = 0.86 states/eV per atom
1.0
10.716 -0.023 -0.014
8.817 6.090 -0.014
8.817 2.739 5.440
Y Al
7 6
Cartesian
14.176 4.403 2.706
16.257 5.050 5.015
12.094 2.051 3.172
17.224 3.644 2.239
12.094 3.757 0.396
16.257 6.755 2.239
11.127 5.162 3.172
4.356 1.353 0.831
18.897 5.870 3.607
23.995 7.453 4.580
26.620 8.268 5.081
9.454 2.936 1.804
1.731 0.538 0.330


Y4Al GGA-PBE optimized geometry; total energy = -0.2230 Ha/atom; distance to the lowest polymorph of the same formula = 0.000 eV/f.u.; M_tot = 0.0 μB/f.u.; DOS at the Fermi energy = 1.56 states/eV per atom
1.0
-4.475 4.475 1.836
4.475 -4.475 1.836
4.475 4.475 -1.836
Y Al
4 1
Cartesian
5.231 2.070 0.000
2.070 3.718 0.000
2.405 0.756 1.836
-0.756 2.405 1.836
0.000 0.000 0.000


Y3Al GGA-PBE optimized geometry; total energy = -0.2095 Ha/atom; M_tot = 0.0 μB/f.u.; DOS at the Fermi energy = 1.46 states/eV per atom
1.0
-2.855 1.192 1.401
-1.652 -0.528 -2.919
-2.453 -9.536 3.113
Y Al
3 1
Cartesian
-1.978 -4.744 0.003
-2.655 -1.229 -0.250
-3.208 -6.325 2.959
-2.389 -9.290 3.032


Y4Al GGA-PBE optimized geometry; total energy = -0.2076 Ha/atom; distance to the lowest polymorph of the same formula = 2.105 eV/f.u.; M_tot = 0.0 μB/f.u.; DOS at the Fermi energy = 1.99 states/eV per atom
1.0
5.571 0.000 0.000
0.000 5.571 0.000
0.000 0.000 5.571
Y Al
4 1
Cartesian
0.000 0.000 0.000
2.786 2.786 0.000
0.000 2.786 2.786
2.786 0.000 2.786
2.786 2.786 2.786


Y3Al GGA-PBE optimized geometry; total energy = -0.2153 Ha/atom; M_tot = 0.0 μB/f.u.; DOS at the Fermi energy = 1.44 states/eV per atom
1.0
-0.744 2.944 -1.753
-4.747 -2.011 -1.361
-2.416 2.344 4.964
Y Al
3 1
Cartesian
-1.546 2.611 1.535
-4.795 2.455 2.653
-3.142 -0.260 0.898
-0.036 0.035 0.073


Y3Al GGA-PBE optimized geometry; total energy = -0.2136 Ha/atom; M_tot = 0.2 μB/f.u.; DOS at the Fermi energy = 1.40 states/eV per atom
1.0
3.558 0.000 0.000
-1.779 3.081 0.000
0.000 0.000 10.630
Y Al
3 1
Cartesian
0.000 0.000 5.315
1.779 1.027 2.380
1.779 1.027 8.250
0.000 0.000 0.000


Y5Al GGA-PBE optimized geometry; total energy = -0.2000 Ha/atom; M_tot = 0.0 μB/f.u.; DOS at the Fermi energy = 1.59 states/eV per atom
1.0
-2.401 0.871 5.784
-0.141 -5.739 -2.650
5.155 -1.198 2.320
Y Al
5 1
Cartesian
2.507 -3.469 -0.165
-0.894 -3.536 0.161
-1.648 -1.332 2.973
1.377 -0.163 4.052
1.307 -3.033 2.727
0.000 0.000 0.000


Y3Al2 GGA-PBE optimized geometry; total energy = -0.2055 Ha/atom; M_tot = 0.0 μB/f.u.; DOS at the Fermi energy = 1.09 states/eV per atom
1.0
0.000 5.388 7.702
3.108 0.000 7.702
3.108 5.388 0.000
Y Al
6 4
Cartesian
2.608 4.859 6.158
2.608 5.918 9.246
4.162 8.612 10.008
1.025 2.694 3.851
5.687 5.388 7.702
4.162 7.553 13.097
2.319 5.115 12.243
2.319 5.661 3.160
3.873 2.967 8.393
3.873 7.810 7.011


Y3Al GGA-PBE optimized geometry; total energy = -0.2203 Ha/atom; M_tot = 0.0 μB/f.u.; DOS at the Fermi energy = 0.98 states/eV per atom
1.0
6.545 0.003 0.002
3.332 5.633 -0.002
-4.413 -3.740 3.063
Al Y
1 3
Cartesian
0.178 -0.311 0.255
5.117 2.506 0.255
1.762 1.847 1.786
4.059 -0.574 1.788


Y5Al GGA-PBE optimized geometry; total energy = -0.2242 Ha/atom; M_tot = 0.0 μB/f.u.; DOS at the Fermi energy = 1.42 states/eV per atom
1.0
-7.803 1.064 -0.241
5.757 -5.350 -0.558
-0.253 -0.771 4.780
Y Al
5 1
Cartesian
1.506 -3.339 -0.459
-0.773 -2.707 1.981
-5.325 -0.554 2.088
3.780 -4.860 1.875
-2.799 -1.303 -0.358
-7.427 0.886 -0.250


Y3Al2 GGA-PBE optimized geometry; total energy = -0.2021 Ha/atom; M_tot = 0.5 μB/f.u.; DOS at the Fermi energy = 1.12 states/eV per atom
1.0
-0.815 11.445 -4.587
-4.328 10.812 -4.131
-2.352 12.051 -1.390
Y Al
3 2
Cartesian
-1.563 7.155 -2.108
0.000 0.000 0.000
-5.932 27.153 -8.000
-2.968 13.587 -4.003
-4.526 20.720 -6.105


Y5Al GGA-PBE optimized geometry; total energy = -0.2252 Ha/atom; M_tot = 0.0 μB/f.u.; DOS at the Fermi energy = 1.27 states/eV per atom
1.0
6.420 -0.098 0.402
5.411 3.458 0.402
2.671 0.759 8.081
Y Al
5 1
Cartesian
6.358 1.806 7.670
9.581 2.721 6.659
12.985 3.688 5.271
4.560 1.295 3.081
7.784 2.211 2.069
11.651 3.309 1.232


Y5Al GGA-PBE optimized geometry; total energy = -0.2256 Ha/atom; M_tot = 0.0 μB/f.u.; DOS at the Fermi energy = 1.13 states/eV per atom
1.0
3.554 0.000 0.000
0.000 3.554 0.000
0.000 0.000 14.081
Y Al
5 1
Cartesian
0.000 0.000 12.193
1.777 1.777 4.504
1.777 1.777 9.577
0.000 0.000 7.040
0.000 0.000 1.888
1.777 1.777 0.000


Y3Al GGA-PBE optimized geometry; total energy = -0.2181 Ha/atom; M_tot = 0.0 μB/f.u.; DOS at the Fermi energy = 1.24 states/eV per atom
1.0
6.157 0.000 0.000
0.000 8.261 0.000
0.000 0.000 9.369
Y Al
12 4
Cartesian
3.728 3.875 2.342
0.819 2.680 4.139
2.260 6.810 4.139
0.650 0.255 7.027
5.507 8.006 2.342
3.897 1.450 8.823
5.338 5.581 5.230
3.897 1.450 5.230
5.338 5.581 8.823
2.429 4.386 7.027
0.819 2.680 0.546
2.260 6.810 0.546
2.668 1.025 2.342
5.747 3.105 7.027
0.410 5.155 2.342
3.489 7.236 7.027